Here is a PBEsol-optimized structure of AlCo2P from Alexandria via LeMat-Bulk. Energies are from meta-GGA SCAN.

Values from the calculation:
The calculation puts the excess energy over the best structure of this formula in the dataset at 0.0 meV per atom. The value obtained for the final energy is -13.526 eV/atom. For the spin magnetization, the calculation gives 1.86 μB per cell.

abc: 3.926 3.940 3.926
angles: 60.12 90.00 119.88
Last column: magnetic moment on the atom in μB.
Atoms (fractional coordinates):
1 P 0.500 0.000 0.500  0.07
2 Co 0.250 0.500 0.250  0.97
3 Co 0.750 0.500 0.750  0.97
4 Al 0.000 0.000 0.000  -0.02

Here is a PBEsol-optimized structure of BeTl3Br from Alexandria via LeMat-Bulk. Energies are from meta-GGA SCAN.

Values from the calculation:
The value obtained for the final energy is -48.283 eV/atom. For the formation energy without anion corrections, the calculation gives -0.105 eV per atom. For the spin magnetization, the calculation gives 0.00 μB per cell.

abc: 5.031 5.031 5.031
angles: 90.00 90.00 90.00
Atoms (fractional coordinates):
1 Be 0.000 0.000 0.000
2 Tl 0.000 0.500 0.000
3 Tl 0.500 0.000 0.000
4 Tl 0.000 0.000 0.500
5 Br 0.500 0.500 0.500

Here is a PBEsol-optimized structure of FeCoRh2 from Alexandria via LeMat-Bulk. Energies are from meta-GGA SCAN.

Values from the calculation:
The value obtained for the final energy is -25.708 eV/atom. For the spin magnetization, the calculation gives 7.23 μB per cell.

abc: 4.150 4.150 4.150
angles: 60.00 60.00 60.00
Last column: magnetic moment on the atom in μB.
Atoms (fractional coordinates):
1 Rh 0.250 0.250 0.250  1.05
2 Rh 0.000 0.000 0.000  1.11
3 Co 0.500 0.500 0.500  2.07
4 Fe 0.750 0.750 0.750  3.23